one) NaCd2Br, relaxed, DFT PBE-GGA; mass density = 4.5 g cm⁻³; space-group type = I-42d; volume = 243.98 Å³ per cell
1.0
-3.872 -8.377 0.729
7.435 -3.786 -4.011
2.989 -6.418 0.915
Na Br Cd
2 2 4
Direct
0.500 0.500 0.000
0.250 0.750 0.500
0.000 0.000 0.000
0.750 0.250 0.500
0.641 0.125 0.250
0.109 0.625 0.250
0.375 0.359 0.750
0.875 0.891 0.750

***

two) NaCd2Br, relaxed, DFT PBE-GGA; mass density = 4.2 g cm⁻³; space-group type = Fm-3m; volume = 129.16 Å³ per cell
1.0
-1.253 2.877 4.727
-2.130 5.247 -0.353
-5.418 0.961 1.384
Na Br Cd
1 1 2
Direct
0.000 0.000 0.000
0.500 0.500 0.500
0.250 0.250 0.250
0.750 0.750 0.750

***

Which of them is the most stable, and which is the least stable? one) and two), in that order.

***

one) NbCdBr2, relaxed, DFT PBE-GGA; mass density = 4.8 g cm⁻³; space-group type = I-42d; volume = 251.99 Å³ per cell
1.0
-7.593 3.169 -4.170
-3.185 -8.623 -0.753
-6.724 -2.464 0.169
Nb Br Cd
2 4 2
Direct
0.500 0.500 0.000
0.250 0.750 0.500
0.493 0.125 0.250
0.257 0.625 0.250
0.375 0.507 0.750
0.875 0.743 0.750
0.000 0.000 0.000
0.750 0.250 0.500

***

two) NbCdBr2, relaxed, DFT PBE-GGA; mass density = 5.5 g cm⁻³; space-group type = R-3m; volume = 109.82 Å³ per cell
1.0
1.958 0.000 11.024
-0.979 1.696 11.024
-0.979 -1.696 11.024
Nb Br Cd
1 2 1
Direct
0.000 0.000 0.000
0.926 0.926 0.926
0.074 0.074 0.074
0.500 0.500 0.500

***

three) NbCdBr2, relaxed, DFT PBE-GGA; mass density = 5.7 g cm⁻³; space-group type = R-3m; volume = 107.11 Å³ per cell
1.0
1.930 0.000 11.073
-0.965 1.671 11.073
-0.965 -1.671 11.073
Nb Br Cd
1 2 1
Direct
0.500 0.500 0.500
0.890 0.890 0.890
0.110 0.110 0.110
0.000 0.000 0.000

***

four) NbCdBr2, relaxed, DFT PBE-GGA; mass density = 7.1 g cm⁻³; space-group type = Fm-3m; volume = 85.46 Å³ per cell
1.0
0.000 3.496 3.496
3.496 0.000 3.496
3.496 3.496 0.000
Nb Br Cd
1 2 1
Direct
0.000 0.000 0.000
0.250 0.250 0.250
0.750 0.750 0.750
0.500 0.500 0.500

***

Which of them is the most stable, and which is the least stable? three) and four), in that order.